First-principles (PBE-GGA) data for an optimized crystal structure of Mg2PtRh, as listed in Alexandria.

a b c (Å): 5.1358 5.1358 4.6169
angles (deg): 73.22 73.22 33.39
Last column: nearest neighbours and their distance in Å.
Positions (direct):
Pt  0.5106  0.5106  0.5608  7 Mg 2.72-2.79, 2 Rh 2.81, 2 Pt 2.95
Mg  0.7654  0.7654  0.6831  4 Rh 2.70-2.80, 3 Pt 2.73-2.74, 3 Mg 2.95-3.00
Mg  0.9839  0.9839  0.0690  4 Pt 2.72-2.79, 3 Rh 2.73, 3 Mg 2.95-3.00
Rh  0.2401  0.2401  0.1872  7 Mg 2.70-2.80, 2 Pt 2.81, 2 Rh 2.95

Calculated values
Energy, eV/atom: -4.726
Calculated formation energy, eV per atom: -0.581